A geometry-optimized Li2AlGa2 structure, computed with PBE-GGA.

Values from the calculation:
density of states at the Fermi level: 2.959 states/eV/cell
VASP energy: -2.889 eV per atom

Unit cell a=7.0289 b=7.0289 c=3.3478 alpha=90.00 beta=90.00 gamma=90.00
With the nearest neighbours (Å) after each atom.
Sites, in units of the cell vectors:
Al (0.0000, 0.0000, 0.0000)  4 Ga 2.75
Al (0.5000, 0.5000, 0.0000)  4 Ga 2.75
Ga (0.3680, 0.8680, 0.0000)  6 Li 2.59-2.71, 1 Ga 2.62, 2 Al 2.75
Ga (0.8680, 0.6320, 0.0000)  6 Li 2.59-2.71, 1 Ga 2.62, 2 Al 2.75
Ga (0.6320, 0.1320, 0.0000)  6 Li 2.59-2.71, 1 Ga 2.62, 2 Al 2.75
Ga (0.1320, 0.3680, 0.0000)  6 Li 2.59-2.71, 1 Ga 2.62, 2 Al 2.75
Li (0.1685, 0.6685, 0.5000)  6 Ga 2.59-2.71
Li (0.6685, 0.8315, 0.5000)  6 Ga 2.59-2.71
Li (0.8315, 0.3315, 0.5000)  6 Ga 2.59-2.71
Li (0.3315, 0.1685, 0.5000)  6 Ga 2.59-2.71

=====

A geometry-optimized Li6AlGa5 structure, computed with PBE-GGA.

Values from the calculation:
density of states at the Fermi level: 4.320 states/eV/cell
VASP energy: -2.779 eV per atom

Unit cell a=3.8665 b=7.4747 c=7.4747 alpha=104.20 beta=104.98 gamma=104.98
With the nearest neighbours (Å) after each atom.
Sites, in units of the cell vectors:
Al (0.0000, 0.0000, 0.0000)  4 Ga 2.74, 8 Li 2.87-2.88
Ga (0.5000, 0.1650, 0.8350)  2 Al 2.74, 2 Ga 2.75, 8 Li 2.85-2.88
Ga (0.0000, 0.3310, 0.6690)  4 Ga 2.75-2.78, 8 Li 2.83-2.86
Ga (0.5000, 0.5000, 0.5000)  4 Ga 2.78, 8 Li 2.82-2.86
Ga (0.0000, 0.6690, 0.3310)  4 Ga 2.75-2.78, 8 Li 2.83-2.86
Ga (0.5000, 0.8350, 0.1650)  2 Al 2.74, 2 Ga 2.75, 8 Li 2.85-2.88
Li (0.2518, 0.0845, 0.4192)  4 Li 2.75-2.76, 7 Ga 2.83-2.86, 1 Al 2.88
Li (0.7482, 0.5808, 0.9155)  4 Li 2.75-2.76, 7 Ga 2.83-2.86, 1 Al 2.88
Li (0.7544, 0.2541, 0.2541)  4 Li 2.76, 6 Ga 2.82-2.88, 2 Al 2.87
Li (0.2456, 0.7459, 0.7459)  4 Li 2.76, 6 Ga 2.82-2.88, 2 Al 2.87
Li (0.2518, 0.4192, 0.0845)  4 Li 2.75-2.76, 7 Ga 2.83-2.86, 1 Al 2.88
Li (0.7482, 0.9155, 0.5808)  4 Li 2.75-2.76, 7 Ga 2.83-2.86, 1 Al 2.88

=====

A geometry-optimized Li5AlGa4 structure, computed with PBE-GGA.

Values from the calculation:
density of states at the Fermi level: 4.310 states/eV/cell
VASP energy: -2.766 eV per atom

Unit cell a=3.2022 b=3.2022 c=15.1195 alpha=90.00 beta=90.00 gamma=90.00
With the nearest neighbours (Å) after each atom.
Sites, in units of the cell vectors:
Li (0.5000, 0.5000, 0.1025)  4 Ga 2.69, 4 Al 2.74, 1 Li 2.95
Li (0.5000, 0.5000, 0.2979)  8 Ga 2.72, 1 Li 2.95
Li (0.5000, 0.5000, 0.5000)  8 Ga 2.74, 2 Li 3.06
Li (0.5000, 0.5000, 0.7021)  8 Ga 2.72, 1 Li 2.95
Li (0.5000, 0.5000, 0.8975)  4 Ga 2.69, 4 Al 2.74, 1 Li 2.95
Al (0.0000, 0.0000, 0.0000)  8 Li 2.74, 2 Ga 3.00
Ga (0.0000, 0.0000, 0.1984)  8 Li 2.69-2.72, 1 Al 3.00
Ga (0.0000, 0.0000, 0.3979)  8 Li 2.72-2.74, 1 Ga 3.02
Ga (0.0000, 0.0000, 0.6021)  8 Li 2.72-2.74, 1 Ga 3.02
Ga (0.0000, 0.0000, 0.8016)  8 Li 2.69-2.72, 1 Al 3.00

=====

A geometry-optimized Li7AlGa4 structure, computed with PBE-GGA.

Values from the calculation:
density of states at the Fermi level: 4.387 states/eV/cell
VASP energy: -2.551 eV per atom

Unit cell a=4.7764 b=7.3538 c=6.8957 alpha=67.93 beta=69.74 gamma=71.05
With the nearest neighbours (Å) after each atom.
Sites, in units of the cell vectors:
Li (0.7950, 0.8771, 0.5328)  7 Li 2.88-3.11, 4 Ga 2.91-3.12
Li (0.2050, 0.1229, 0.4672)  7 Li 2.88-3.11, 4 Ga 2.91-3.12
Li (0.0809, 0.5731, 0.2651)  3 Ga 2.59-2.74, 1 Li 2.90
Li (0.9191, 0.4269, 0.7349)  3 Ga 2.59-2.74, 1 Li 2.90
Li (0.2552, 0.7186, 0.7711)  4 Ga 2.55-2.75, 1 Al 2.78
Li (0.5000, 0.0000, 0.0000)  2 Al 2.39, 2 Ga 2.44
Li (0.7448, 0.2814, 0.2289)  4 Ga 2.55-2.75, 1 Al 2.78
Al (0.0000, 0.0000, 0.0000)  2 Li 2.39
Ga (0.5431, 0.2953, 0.6185)  4 Li 2.55-2.74, 2 Ga 2.66-2.81
Ga (0.4569, 0.7047, 0.3815)  4 Li 2.55-2.74, 2 Ga 2.66-2.81
Ga (0.6785, 0.6516, 0.9913)  3 Li 2.44-2.59, 1 Ga 2.66
Ga (0.3215, 0.3484, 0.0087)  3 Li 2.44-2.59, 1 Ga 2.66